## Zr3Cu2 (GGA-PBE)

Data for an optimized crystal structure of Zr3Cu2.

```
data_Zr3Cu2
_cell_length_a 3.2649
_cell_length_b 3.2649
_cell_length_c 32.3506
_cell_angle_alpha 90.00
_cell_angle_beta 90.00
_cell_angle_gamma 120.00
_symmetry_space_group_name_H-M 'R -3 m'
_symmetry_Int_Tables_number 166
_symmetry_space_group_name_Hall '-R 3 2"'
loop_
_atom_site_label
_atom_site_type_symbol
_atom_site_fract_x
_atom_site_fract_y
_atom_site_fract_z
Zr1 Zr 0.0000 0.0000 0.0000
Zr2 Zr 0.0000 0.0000 0.2053
Cu1 Cu 0.0000 0.0000 0.3966
```

Spin magnetization in μB per formula unit: 0.00
E_form in eV/atom: 0.130
D(E_F) in states/eV per atom: 1.214